First-principles (GGA-PBE) data for a relaxed TbPmIrCl crystal, as listed in Alexandria via LeMat-Bulk.

Cell lengths 7.926, 7.926, 7.926 Å; angles 29.67, 29.67, 29.67 degrees
Sites, in units of the cell vectors:
Tb 0.000 0.000 0.000
Pm 0.799 0.799 0.799
Ir 0.398 0.398 0.398
Cl 0.571 0.571 0.571

Calculated values
Its uncorrected formation energy is -1.176 eV per atom. The space group is R3m (160). As for the final energy: -6.199 eV/atom.